This record from Alexandria via LeMat-Bulk describes crystalline Tl2CrSbO8 at its relaxed geometry. The functional is PBE with a Hubbard U.

Cell lengths 4.9429, 4.9328, 6.4216 Å; angles 90.00, 90.00, 91.80 degrees
Last column: nearest neighbours and their distance in Å.
Sites, in units of the cell vectors:
O1 0.1732 0.8243 0.2570  1 Cr 1.99, 1 Sb 2.06
O2 0.7341 0.7363 0.5000  1 Cr 1.82
Tl1 0.5000 0.5000 0.2546  6 O 2.20-2.31
O3 0.8269 0.1757 0.2570  1 Cr 1.99, 1 Sb 2.06
O4 0.8268 0.1757 0.7430  1 Cr 1.99, 1 Sb 2.06
O5 0.7117 0.7148 0.0000  1 Sb 1.97, 2 Tl 2.20
Cr1 0.0000 0.0000 0.5000  6 O 1.82-1.99
Sb1 0.0000 0.0000 0.0000  6 O 1.97-2.06
Tl2 0.5000 0.5000 0.7454  6 O 2.20-2.31
O6 0.2659 0.2637 0.5000  1 Cr 1.82
O7 0.2883 0.2852 0.0000  1 Sb 1.97, 2 Tl 2.20
O8 0.1731 0.8243 0.7430  1 Cr 1.99, 1 Sb 2.06

## Properties
**Raw total energy**: -5.61 eV per atom
**SG**: P2/m, No. 10